4
Lattice="-1.925 -3.386 -0.325 0.481 0.009 -2.941 5.403 -2.871 -2.081" Properties=species:S:1:pos:R:3 comment="PBE Cd2CuIr, relaxed" density_g_cm3=11.88 dft_energy_ev_per_atom=-3.537 e_form_ev_per_atom=0.1603 pbc="T T T"
Cd 0.002 0.000 -0.007
Cd 2.940 -1.431 -2.504
Cu 0.509 -2.409 -1.418
Ir 3.450 -3.840 -3.929